[1]
The following is a PBE calculation of crystalline Mn2Ni at its relaxed geometry, from the Alexandria database.

Calculated values
Calculated volume   11.55 A^3/atom
Total energy   -8.075 eV per atom
E_form   -0.03 eV per atom
Size of the total moment   0.38 μB/atom
Crystal system   tetragonal

Cell lengths 3.5770, 3.5770, 21.6636 Å; angles 90.00, 90.00, 90.00 degrees
Space group I4_1/amd (No. 141, origin choice 2)
Asymmetric unit:
Mn: 0.0000 0.2500 0.1253 (multiplicity 8)
Mn: 0.0000 0.2500 0.2957 (multiplicity 8)
Ni: 0.0000 0.2500 0.7918 (multiplicity 8)


[2]
The following is a PBE calculation of crystalline MnGa at its relaxed geometry, from the Alexandria database.

Calculated values
Calculated volume   23.10 A^3/atom
Total energy   -5.120 eV per atom
E_form   0.98 eV per atom
Size of the total moment   1.65 μB/atom
Crystal system   cubic

Cell lengths 5.6959, 5.6959, 5.6959 Å; angles 90.00, 90.00, 90.00 degrees
Space group F-43m (No. 216)
Asymmetric unit:
Mn: 0.0000 0.0000 0.0000 (multiplicity 4)
Ga: 0.2500 0.2500 0.7500 (multiplicity 4)


[3]
The following is a PBE calculation of crystalline KHg7 at its relaxed geometry, from the Alexandria database.

Calculated values
Calculated volume   29.67 A^3/atom
Total energy   -0.533 eV per atom
E_form   -0.13 eV per atom
Size of the total moment   0.00 μB/atom
Energy relative to the lowest polymorph listed for this composition   0 meV per atom
Crystal system   tetragonal

Cell lengths 5.0060, 5.0060, 18.9435 Å; angles 90.00, 90.00, 90.00 degrees
Space group I4/mmm (No. 139)
Asymmetric unit:
K: 0.0000 0.0000 0.0000 (multiplicity 2)
Hg: 0.0000 0.0000 0.2459 (multiplicity 4)
Hg: 0.0000 0.0000 0.5000 (multiplicity 2)
Hg: 0.0000 0.5000 0.1312 (multiplicity 8)


[4]
The following is a PBE calculation of crystalline TcTeRu2 at its relaxed geometry, from the Alexandria database.

Calculated values
Calculated volume   23.09 A^3/atom
Total energy   -7.267 eV per atom
Size of the total moment   0.00 μB/atom
Energy relative to the elements, uncorrected   2.991 eV/f.u.
Crystal system   tetragonal

Cell lengths 5.6329, 5.6329, 11.6422 Å; angles 90.00, 90.00, 90.00 degrees
Space group I-42d (No. 122)
Asymmetric unit:
Tc: 0.0000 0.0000 0.0000 (multiplicity 4)
Te: 0.0000 0.0000 0.5000 (multiplicity 4)
Ru: 0.2174 0.2500 0.1250 (multiplicity 8)


[5]
The following is a PBE calculation of crystalline CrIrOsRh at its relaxed geometry, from the Alexandria database.

Calculated values
Calculated volume   13.76 A^3/atom
Total energy   -9.297 eV per atom
E_form   -0.03 eV per atom
Size of the total moment   0.18 μB/atom
Crystal system   tetragonal

Cell lengths 3.8213, 3.8213, 7.5380 Å; angles 90.00, 90.00, 90.00 degrees
Space group I-4m2 (No. 119)
Asymmetric unit:
Cr: 0.0000 0.0000 0.0000 (multiplicity 2)
Ir: 0.0000 0.5000 0.2500 (multiplicity 2)
Os: 0.0000 0.5000 0.7500 (multiplicity 2)
Rh: 0.0000 0.0000 0.5000 (multiplicity 2)


[6]
The following is a PBE calculation of crystalline TaSi2Au2 at its relaxed geometry, from the Alexandria database.

Calculated values
Calculated volume   16.61 A^3/atom
Total energy   -5.720 eV per atom
Size of the total moment   0.00 μB/atom
Energy relative to the elements, uncorrected   0.655 eV/f.u.
Crystal system   tetragonal

Cell lengths 7.1847, 7.1847, 3.2168 Å; angles 90.00, 90.00, 90.00 degrees
Space group P4/mbm (No. 127)
Asymmetric unit:
Ta: 0.0000 0.0000 0.0000 (multiplicity 2)
Si: 0.1580 0.3420 0.0000 (multiplicity 4)
Au: 0.1452 0.6452 0.5000 (multiplicity 4)


- Which of these has the highest total energy?
  KHg7